Compound: Ba3In
Source: the Alexandria database
Functional: GGA-PBE
Structure: relaxed

Cell and atoms, written as extended XYZ:
```
8
Lattice="6.698 -6.505 0.000 6.698 6.505 0.000 0.000 0.000 4.633" Properties=species:S:1:pos:R:3 pbc="T T T"
Ba 6.698 4.400 3.475
Ba 3.846 1.554 3.475
Ba 3.846 -1.554 1.158
Ba 9.551 1.554 3.475
Ba 9.551 -1.554 1.158
Ba 6.698 -4.400 1.158
In 6.698 1.102 1.158
In 6.698 -1.102 3.475
```

## Properties
SG   No. 63
Formation energy   -0.51 eV per formula unit
DOS(E_F)   10.71 states/eV/cell
Final energy   -2.2530 eV per atom

=====

Compound: Pr2MgAl2Pt5
Source: the Alexandria database
Functional: GGA-PBE
Structure: relaxed

Cell and atoms, written as extended XYZ:
```
20
Lattice="10.502 0.000 0.000 0.000 10.502 0.000 0.000 0.000 3.445" Properties=species:S:1:pos:R:3 pbc="T T T"
Pr 1.862 3.389 0.000
Pr 3.389 8.639 0.000
Pr 7.113 1.862 0.000
Pr 8.639 7.113 0.000
Mg 0.000 0.000 0.000
Mg 5.251 5.251 0.000
Al 1.304 6.554 0.000
Al 3.947 1.304 0.000
Al 6.554 9.198 0.000
Al 9.198 3.947 0.000
Pt 0.000 5.251 1.722
Pt 0.617 8.323 1.722
Pt 2.179 0.617 1.722
Pt 3.072 5.868 1.722
Pt 4.634 3.072 1.722
Pt 5.251 0.000 1.722
Pt 5.868 7.429 1.722
Pt 7.429 4.634 1.722
Pt 8.323 9.885 1.722
Pt 9.885 2.179 1.722
```

## Properties
SG   No. 127
Formation energy   -9.11 eV per formula unit
DOS(E_F)   10.50 states/eV/cell
Final energy   -5.7956 eV per atom

=====

Repeat the first record exactly.
Compound: Ba3In
Source: the Alexandria database
Functional: GGA-PBE
Structure: relaxed

Cell and atoms, written as extended XYZ:
```
8
Lattice="6.698 -6.505 0.000 6.698 6.505 0.000 0.000 0.000 4.633" Properties=species:S:1:pos:R:3 pbc="T T T"
Ba 6.698 4.400 3.475
Ba 3.846 1.554 3.475
Ba 3.846 -1.554 1.158
Ba 9.551 1.554 3.475
Ba 9.551 -1.554 1.158
Ba 6.698 -4.400 1.158
In 6.698 1.102 1.158
In 6.698 -1.102 3.475
```

## Properties
SG   No. 63
Formation energy   -0.51 eV per formula unit
DOS(E_F)   10.71 states/eV/cell
Final energy   -2.2530 eV per atom